## Zr2BeGaSb (GGA-PBEsol)

Data for crystalline Zr2BeGaSb at its relaxed geometry.

Total energy: -6.16 eV/atom
V: 94 Å³/cell
Raw formation energy: -150 meV per atom
Total magnetic moment: 0.0 μB per formula unit
Symmetry: P4/mmm

Unit cell a=4.0339 b=4.8282 c=4.8282 alpha=90.00 beta=90.00 gamma=90.00
Atoms (fractional coordinates):
Ga: 0.5000 0.0000 0.0000
Zr: 0.0000 0.0000 0.5000
Zr: 0.0000 0.5000 0.0000
Sb: 0.5000 0.5000 0.5000
Be: 0.0000 0.0000 0.0000